A geometry-optimized BaCaNi4O12 structure, computed with PBE with a Hubbard U.

The structure in CIF format:
```
data_BaCaNi4O12
_space_group_name_H-M_alt 'P 4/m m m'
_space_group_IT_number 123
_space_group_name_Hall '-P 4 2'
_cell_length_a 5.485
_cell_length_b 5.485
_cell_length_c 7.694
_cell_angle_alpha 90.00
_cell_angle_beta 90.00
_cell_angle_gamma 90.00
loop_
_atom_site_label
_atom_site_fract_x
_atom_site_fract_y
_atom_site_fract_z
Ba1 0.000 0.000 0.000
Ca1 0.500 0.500 0.500
Ni1 0.000 0.500 0.252
O1 0.000 0.500 0.000
O2 0.000 0.500 0.500
O3 0.262 0.262 0.267
```

Computed properties:
Calculated total energy: -83.38 eV/cell